Entry 1:
Density functional theory data (GGA-PBE) for a relaxed Nd4Al3Hg crystal.

Values from the calculation:
- electronic total energy (eV per atom) = -4.1790
- calculated formation energy (eV per atom) = -0.35
- ΔE to the lowest computed polymorph (meV/atom) = 27

Cell and atoms, written as CIF:
```
data_Nd4Al3Hg
_chemical_formula_sum 'Nd4 Al3 Hg1'
_space_group_name_H-M_alt 'P m m 2'
_space_group_IT_number 25
_cell_length_a 3.858
_cell_length_b 4.638
_cell_length_c 12.198
_cell_angle_alpha 90.00
_cell_angle_beta 90.00
_cell_angle_gamma 90.00
loop_
_space_group_symop_operation_xyz
'x,y,z'
'-x,-y,z'
'-x,y,z'
'x,-y,z'
loop_
_atom_site_label
_atom_site_fract_x
_atom_site_fract_y
_atom_site_fract_z
_atom_site_occupancy
Nd1 0.000 0.000 0.000 1
Nd2 0.000 0.500 0.303 1
Nd3 0.500 0.000 0.494 1
Nd4 0.500 0.500 0.804 1
Al1 0.000 0.500 0.581 1
Al2 0.500 0.000 0.216 1
Al3 0.500 0.500 0.085 1
Hg1 0.000 0.000 0.719 1
```

Entry 2:
Density functional theory data (GGA-PBE) for a relaxed Nd5AlHg3 crystal.

Values from the calculation:
- electronic total energy (eV per atom) = -3.5147
- calculated formation energy (eV per atom) = -0.35

Cell and atoms, written as CIF:
```
data_Nd5AlHg3
_chemical_formula_sum 'Nd10 Al2 Hg6'
_space_group_name_H-M_alt 'P 63/m c m'
_space_group_IT_number 193
_space_group_name_Hall '-P 6c 2'
_cell_length_a 9.4473
_cell_length_b 9.4473
_cell_length_c 6.7143
_cell_angle_alpha 90.00
_cell_angle_beta 90.00
_cell_angle_gamma 120.00
loop_
_atom_site_label
_atom_site_fract_x
_atom_site_fract_y
_atom_site_fract_z
_atom_site_occupancy
Nd1 0.0000 0.2814 0.2500 1
Nd2 0.3333 0.6667 0.0000 1
Al1 0.0000 0.0000 0.0000 1
Hg1 0.0000 0.3773 0.7500 1
```

Please write out number 1 again, unchanged.
Density functional theory data (GGA-PBE) for a relaxed Nd4Al3Hg crystal.

Values from the calculation:
- electronic total energy (eV per atom) = -4.1790
- calculated formation energy (eV per atom) = -0.35
- ΔE to the lowest computed polymorph (meV/atom) = 27

Cell and atoms, written as CIF:
```
data_Nd4Al3Hg
_chemical_formula_sum 'Nd4 Al3 Hg1'
_space_group_name_H-M_alt 'P m m 2'
_space_group_IT_number 25
_cell_length_a 3.858
_cell_length_b 4.638
_cell_length_c 12.198
_cell_angle_alpha 90.00
_cell_angle_beta 90.00
_cell_angle_gamma 90.00
loop_
_space_group_symop_operation_xyz
'x,y,z'
'-x,-y,z'
'-x,y,z'
'x,-y,z'
loop_
_atom_site_label
_atom_site_fract_x
_atom_site_fract_y
_atom_site_fract_z
_atom_site_occupancy
Nd1 0.000 0.000 0.000 1
Nd2 0.000 0.500 0.303 1
Nd3 0.500 0.000 0.494 1
Nd4 0.500 0.500 0.804 1
Al1 0.000 0.500 0.581 1
Al2 0.500 0.000 0.216 1
Al3 0.500 0.500 0.085 1
Hg1 0.000 0.000 0.719 1
```